Entry 1:
SrBe2W after structural relaxation, computed with GGA-PBEsol.

Lattice parameters (Å, degrees): 3.801 3.801 6.158 72.02 72.02 60.00
Positions (direct):
Be: 0.316 0.316 0.053
Be: 0.983 0.983 0.051
W: 0.702 0.702 0.893
Sr: 0.510 0.510 0.469

Values from the calculation:
Symmetry: R3m (160)
Final energy, eV/atom: -5.325

Entry 2:
Sr3BeW after structural relaxation, computed with GGA-PBEsol.

Lattice parameters (Å, degrees): 5.684 5.684 5.684 90.00 90.00 90.00
Positions (direct):
Be: 0.500 0.500 0.500
Sr: 0.000 0.000 0.500
W: 0.000 0.000 0.000
Sr: 0.500 0.000 0.000
Sr: 0.000 0.500 0.000

Values from the calculation:
Symmetry: Pm-3m (221)
Final energy, eV/atom: -3.195

Entry 3:
SrYBe2 after structural relaxation, computed with GGA-PBEsol.

Lattice parameters (Å, degrees): 4.017 5.039 5.969 75.83 70.34 66.51
Positions (direct):
Y: 0.000 0.500 0.500
Be: 0.267 0.911 0.554
Sr: 0.500 0.000 0.000
Be: 0.733 0.089 0.446

Values from the calculation:
Symmetry: C2/m (12)
Final energy, eV/atom: -3.826

Entry 4:
SrYBe after structural relaxation, computed with GGA-PBEsol.

Lattice parameters (Å, degrees): 4.801 4.605 4.605 120.00 90.00 90.00
Positions (direct):
Sr: 0.667 0.667 0.333
Be: 0.166 0.000 0.000
Y: 0.167 0.333 0.667

Values from the calculation:
Symmetry: P-6m2 (187)
Final energy, eV/atom: -3.711

Entry 5:
Sr2YBe after structural relaxation, computed with GGA-PBEsol.

Lattice parameters (Å, degrees): 3.696 5.769 7.050 114.14 105.20 90.00
Positions (direct):
Be: 0.236 0.735 0.471
Sr: 0.751 0.251 0.502
Sr: 0.947 0.948 0.895
Y: 0.566 0.566 0.131

Values from the calculation:
Symmetry: Imm2 (44)
Final energy, eV/atom: -3.276

Entry 6:
SrBeZn after structural relaxation, computed with GGA-PBEsol.

Lattice parameters (Å, degrees): 4.705 4.705 4.705 60.00 60.00 60.00
Positions (direct):
Zn: 0.250 0.250 0.250
Be: 0.000 0.000 0.000
Sr: 0.500 0.500 0.500

Values from the calculation:
Symmetry: F-43m (216)
Final energy, eV/atom: -1.950

Which formation enthalpy at 0 K belongs to each record? In order, 0.59 1.47 0.34 0.51 0.35 0.52 eV per atom.